(A)
The following is a GGA-PBE calculation of an optimized crystal structure of AgAsIN2, from Alexandria via LeMat-Bulk.

Cell: 4.1188 4.1188 7.4019 Å, 90.00 90.00 90.00°
Closest atoms and distances in Å follow each position.
Space group P4/mmm (No. 123)
Symmetry-distinct sites (fractional):
Ag 0.0000 0.0000 0.0000 [1 per cell]  4 N 2.06
As 0.5000 0.5000 0.5000 [1 per cell]  4 I 2.91
I 0.0000 0.0000 0.5000 [1 per cell]  4 As 2.91
N 0.0000 0.5000 0.0000 [2 per cell]  2 Ag 2.06

Computed properties:
For the total magnetic moment, the calculation gives 3.6 μB/cell.

***

(B)
The following is a GGA-PBE calculation of an optimized crystal structure of AgAsIN2, from Alexandria via LeMat-Bulk.

Cell: 3.8539 3.8539 7.4508 Å, 90.00 90.00 90.00°
Closest atoms and distances in Å follow each position.
Space group P4/mmm (No. 123)
Symmetry-distinct sites (fractional):
Ag 0.0000 0.0000 0.0000 [1 per cell]  4 I 2.73
As 0.5000 0.5000 0.5000 [1 per cell]  4 N 1.93
I 0.5000 0.5000 0.0000 [1 per cell]  4 Ag 2.73
N 0.0000 0.5000 0.5000 [2 per cell]  2 As 1.93

Computed properties:
For the total magnetic moment, the calculation gives 0.6 μB/cell.

***

Quick one: least stable of them? (A)